PBE-GGA Ce2CoAu, relaxed; DOS at the Fermi energy = 18.5 states/eV/cell; VASP energy = -5.949 eV/atom; formation energy = -386 meV/atom; space group = P-1 (2)
1.0
4.8152 0.0000 0.0000
2.0380 5.2928 0.0000
2.1894 1.8215 7.2253
Ce Co Au
4 2 2
Direct
0.0734 0.2256 0.1331 Ce
0.3126 0.2573 0.5747 Ce
0.6874 0.7427 0.4253 Ce
0.9266 0.7744 0.8669 Ce
0.1760 0.8208 0.4378 Co
0.8240 0.1792 0.5622 Co
0.3732 0.6184 0.1509 Au
0.6268 0.3816 0.8491 Au